w:
RbCa2Al2, optimized geometry, DFT GGA-PBE; space-group type = P4/mbm (127); total moment = 0.000 μB/f.u.; volume = 163.0 Å³/f.u.
1.0
-3.090 6.101 -6.078
-3.487 -6.790 -5.044
-3.352 0.261 1.966
Ca Al Rb
4 4 2
Direct
0.177 0.677 0.500
0.677 0.823 0.500
0.823 0.323 0.500
0.323 0.177 0.500
0.394 0.894 0.000
0.894 0.606 0.000
0.606 0.106 0.000
0.106 0.394 0.000
0.000 0.000 0.000
0.500 0.500 0.000

---

x:
RbCa2Al2, optimized geometry, DFT GGA-PBE; space-group type = I4/mmm (139); total moment = 0.000 μB/f.u.; volume = 180.4 Å³/f.u.
1.0
-3.436 -2.256 4.016
2.748 -5.025 -0.472
3.169 -2.084 5.652
Ca Al Rb
2 2 1
Direct
0.750 0.250 0.500
0.250 0.750 0.500
0.385 0.385 0.231
0.615 0.615 0.769
0.000 0.000 0.000

---

w ends up most stable, edging out the next structure by 48 meV per atom.